[1]
The following is a PBE-GGA calculation of a relaxed structure of BaIr4Pt2, from Alexandria.

The structure in POSCAR format:
```
BaIr4Pt2
1.0
4.993 0.000 0.000
0.000 4.993 0.000
2.497 2.497 7.136
Ir Pt Ba
4 2 1
direct
0.000 0.500 0.000
0.757 0.757 0.487
0.243 0.243 0.513
0.500 0.000 0.000
0.589 0.589 0.821
0.411 0.411 0.179
0.000 0.000 0.000
```

Symmetry ... No. 139
ΔE_f ... 2035 meV per atom

=====

[2]
The following is a PBE-GGA calculation of a relaxed structure of K2CaZn, from Alexandria.

The structure in POSCAR format:
```
K2CaZn
1.0
7.328 -0.011 0.000
3.789 6.272 0.000
-5.558 -3.131 3.606
Ca Zn K
1 1 2
direct
0.750 0.250 0.500
0.250 0.750 0.500
0.500 0.500 0.000
0.000 0.000 0.000
```

Symmetry ... No. 139
ΔE_f ... 227 meV per atom

=====

[3]
The following is a PBE-GGA calculation of a relaxed structure of VMoIrSe2, from Alexandria.

The structure in POSCAR format:
```
VMoIrSe2
1.0
-3.223 -1.450 3.267
-2.230 -2.620 -3.363
2.793 -3.767 1.082
V Mo Se Ir
1 1 2 1
direct
0.500 0.500 0.500
0.000 0.000 0.000
0.000 0.000 0.500
0.500 0.000 0.000
0.000 0.500 0.000
```

Symmetry ... No. 123
Formation energy from raw total energies ... 5.51 eV per formula unit

=====

[4]
The following is a PBE-GGA calculation of a relaxed structure of Mg5ZrPt6, from Alexandria.

The structure in POSCAR format:
```
Mg5ZrPt6
1.0
-0.958 -1.377 3.947
3.905 -5.969 -1.135
3.700 6.622 0.893
Mg Zr Pt
5 1 6
direct
0.335 0.335 0.671
0.672 0.172 0.344
0.665 0.665 0.329
0.328 0.828 0.656
0.000 0.500 0.000
0.000 0.000 0.000
0.832 0.585 0.665
0.500 0.751 0.000
0.168 0.415 0.335
0.168 0.921 0.335
0.500 0.249 0.000
0.832 0.079 0.665
```

Symmetry ... No. 12
ΔE_f ... -898 meV per atom

=====

Calculated magnetization (μB/atom), listed in the same order as above: 0.40 0.00 0.04 0.00
Calculated density of states at the Fermi level (states/eV per atom), listed in the same order as above: 1.580 0.702 1.317 0.250